! Sr2ThMo2N6 | the Alexandria database | GGA-PBE | optimized geometry; values from VASP
! - Energy relative to the elements, uncorrected: -0.790 eV per atom
! - VASP energy: -0.30432 Ha/atom
&SYSTEM
  ibrav = 0, nat = 11, ntyp = 4
/
ATOMIC_SPECIES
Sr 87.62 Sr.upf
Th 232.04 Th.upf
Mo 95.94 Mo.upf
N 14.01 N.upf
CELL_PARAMETERS angstrom
3.0925 1.7855 6.2404
-3.0925 1.7855 6.2404
0.0000 -3.5710 6.2404
ATOMIC_POSITIONS angstrom
Sr 0.0000 0.0000 3.7436
Sr 0.0000 0.0000 14.9774
Th 0.0000 0.0000 0.0000
Mo 0.0000 0.0000 8.0159
Mo 0.0000 0.0000 10.7051
N -1.5845 -0.9148 10.8470
N 0.0000 -1.8296 7.8740
N -1.5845 0.9148 7.8740
N 1.5845 -0.9148 10.8470
N 0.0000 1.8296 10.8470
N 1.5845 0.9148 7.8741

! SrTm2MoN4 | the Alexandria database | GGA-PBE | optimized geometry; values from VASP
! - Energy relative to the elements, uncorrected: -1.123 eV per atom
! - VASP energy: -0.29280 Ha/atom
&SYSTEM
  ibrav = 0, nat = 16, ntyp = 4
/
ATOMIC_SPECIES
Sr 87.62 Sr.upf
Tm 168.93 Tm.upf
Mo 95.94 Mo.upf
N 14.01 N.upf
CELL_PARAMETERS angstrom
1.6861 -6.0320 0.0000
1.6861 6.0320 0.0000
0.0000 0.0000 12.0300
ATOMIC_POSITIONS angstrom
Sr 1.6861 5.1137 9.0225
Sr 1.6861 -5.1137 3.0075
Tm 1.6861 1.5370 6.4895
Tm 1.6861 1.5370 11.5555
Tm 1.6861 -1.5370 0.4745
Tm 1.6861 -1.5370 5.5405
Mo 1.6861 3.7823 3.0075
Mo 1.6861 -3.7823 9.0225
N 0.0000 0.0000 0.0000
N 0.0000 0.0000 6.0150
N 1.6861 2.8943 1.3446
N 1.6861 2.8943 4.6704
N 1.6861 1.0214 9.0225
N 1.6861 -1.0214 3.0075
N 1.6861 -2.8943 7.3596
N 1.6861 -2.8943 10.6854

! Sr3U3MoN8 | the Alexandria database | GGA-PBE | optimized geometry; values from VASP
! - Energy relative to the elements, uncorrected: -1.012 eV per atom
! - VASP energy: -0.32224 Ha/atom
&SYSTEM
  ibrav = 0, nat = 15, ntyp = 4
/
ATOMIC_SPECIES
Sr 87.62 Sr.upf
U 238.03 U.upf
Mo 95.94 Mo.upf
N 14.01 N.upf
CELL_PARAMETERS angstrom
3.4171 1.9729 5.9650
-3.4171 1.9729 5.9650
0.0000 -3.9458 5.9650
ATOMIC_POSITIONS angstrom
Sr -1.7086 -0.9864 5.9650
Sr -1.7086 0.9864 11.9300
Sr 0.0000 1.9729 5.9650
U -3.4171 0.0000 8.9475
U -1.7086 0.9864 2.9825
U 1.7086 0.9864 2.9825
Mo 0.0000 0.0000 8.9475
N -1.7105 -0.9876 10.0242
N 0.0000 0.0000 4.1969
N 0.0000 -1.9752 7.8708
N -1.7105 0.9876 7.8708
N 1.7105 -0.9876 10.0243
N 0.0000 1.9751 10.0243
N 0.0000 0.0000 13.6982
N 1.7105 0.9876 7.8708

! Sr2VMoN5 | the Alexandria database | GGA-PBE | optimized geometry; values from VASP
! - Energy relative to the elements, uncorrected: -0.752 eV per atom
! - VASP energy: -0.29279 Ha/atom
&SYSTEM
  ibrav = 0, nat = 18, ntyp = 4
/
ATOMIC_SPECIES
Sr 87.62 Sr.upf
V 50.94 V.upf
Mo 95.94 Mo.upf
N 14.01 N.upf
CELL_PARAMETERS angstrom
1.6240 -7.2763 0.0000
1.6240 7.2763 0.0000
0.0000 0.0000 10.9395
ATOMIC_POSITIONS angstrom
Sr 1.6240 5.7365 5.4697
Sr 1.6240 5.3418 1.5436
Sr 1.6240 -5.3418 7.0133
Sr 1.6240 -5.7365 0.0000
V 1.6240 0.8401 2.8281
V 1.6240 -0.8401 8.2978
Mo 1.6240 4.1595 9.3404
Mo 1.6240 -4.1595 3.8706
N 1.6240 6.6971 9.1917
N 1.6240 3.0010 5.0302
N 1.6240 2.6439 2.3424
N 1.6240 2.4052 9.0171
N 1.6240 0.0088 1.3246
N 1.6240 -0.0088 6.7943
N 1.6240 -2.4052 3.5474
N 1.6240 -2.6439 7.8121
N 1.6240 -3.0010 10.5000
N 1.6240 -6.6971 3.7219

! Sr2MoWN5 | the Alexandria database | GGA-PBE | optimized geometry; values from VASP
! - Energy relative to the elements, uncorrected: -0.670 eV per atom
! - VASP energy: -0.30543 Ha/atom
&SYSTEM
  ibrav = 0, nat = 18, ntyp = 4
/
ATOMIC_SPECIES
Sr 87.62 Sr.upf
Mo 95.94 Mo.upf
W 183.84 W.upf
N 14.01 N.upf
CELL_PARAMETERS angstrom
1.6933 -7.4857 0.0000
1.6933 7.4857 0.0000
0.0000 0.0000 10.6922
ATOMIC_POSITIONS angstrom
Sr 1.6933 5.7639 5.3461
Sr 1.6933 5.4813 1.3747
Sr 1.6933 -5.4813 6.7208
Sr 1.6933 -5.7639 0.0000
Mo 1.6933 4.1592 9.0549
Mo 1.6933 -4.1592 3.7088
W 1.6933 0.8669 2.8488
W 1.6933 -0.8669 8.1949
N 1.6933 6.9711 9.0846
N 1.6933 3.0817 4.7653
N 1.6933 2.6474 2.1903
N 1.6933 2.3944 8.8038
N 1.6933 0.0364 6.6294
N 1.6933 -0.0364 1.2833
N 1.6933 -2.3944 3.4577
N 1.6933 -2.6474 7.5364
N 1.6933 -3.0817 10.1113
N 1.6933 -6.9711 3.7385

! SrY2MoN4 | the Alexandria database | GGA-PBE | optimized geometry; values from VASP
! - Energy relative to the elements, uncorrected: -1.067 eV per atom
! - VASP energy: -0.30907 Ha/atom
&SYSTEM
  ibrav = 0, nat = 16, ntyp = 4
/
ATOMIC_SPECIES
Sr 87.62 Sr.upf
Y 88.91 Y.upf
Mo 95.94 Mo.upf
N 14.01 N.upf
CELL_PARAMETERS angstrom
1.7212 -6.0802 0.0000
1.7212 6.0802 0.0000
0.0000 0.0000 12.1448
ATOMIC_POSITIONS angstrom
Sr 1.7212 5.0958 9.1086
Sr 1.7212 -5.0958 3.0362
Y 1.7212 1.5596 6.5440
Y 1.7212 1.5596 11.6733
Y 1.7212 -1.5596 0.4716
Y 1.7212 -1.5596 5.6008
Mo 1.7212 3.8845 3.0362
Mo 1.7212 -3.8845 9.1086
N 0.0000 0.0000 0.0000
N 0.0000 0.0000 6.0724
N 1.7212 2.9168 1.4130
N 1.7212 2.9168 4.6594
N 1.7212 1.0510 9.1086
N 1.7212 -1.0510 3.0362
N 1.7212 -2.9168 7.4854
N 1.7212 -2.9168 10.7318

! Sr2ZnMoN4 | the Alexandria database | GGA-PBE | optimized geometry; values from VASP
! - Energy relative to the elements, uncorrected: -0.658 eV per atom
! - VASP energy: -0.24822 Ha/atom
&SYSTEM
  ibrav = 0, nat = 16, ntyp = 4
/
ATOMIC_SPECIES
Sr 87.62 Sr.upf
Zn 65.41 Zn.upf
Mo 95.94 Mo.upf
N 14.01 N.upf
CELL_PARAMETERS angstrom
7.0686 0.0000 0.0000
0.0000 6.2002 0.0000
0.0000 0.0000 5.8942
ATOMIC_POSITIONS angstrom
Sr 1.7611 1.4826 0.0000
Sr 1.7732 4.7175 2.9471
Sr 5.2954 4.7175 2.9471
Sr 5.3075 1.4826 0.0000
Zn 0.0000 4.8491 5.8874
Zn 3.5343 1.3510 2.9403
Mo 0.0000 1.2386 2.9398
Mo 3.5343 4.9616 5.8869
N 0.0000 0.0739 1.4867
N 0.0000 0.0931 4.4082
N 1.6342 2.2038 2.9278
N 1.9001 3.9964 5.8749
N 3.5343 6.1071 1.4611
N 3.5343 6.1263 4.4338
N 5.1685 3.9964 5.8749
N 5.4344 2.2038 2.9278

! TaMoN2 | the Alexandria database | GGA-PBE | optimized geometry; values from VASP
! - Offset from the most stable computed form: 192 meV per atom
! - Energy relative to the elements, uncorrected: -0.345 eV per atom
! - VASP energy: -0.37407 Ha/atom
&SYSTEM
  ibrav = 0, nat = 4, ntyp = 3
/
ATOMIC_SPECIES
Ta 180.95 Ta.upf
Mo 95.94 Mo.upf
N 14.01 N.upf
CELL_PARAMETERS angstrom
1.5273 0.8818 6.3346
-1.5273 0.8818 6.3346
0.0000 -1.7636 6.3346
ATOMIC_POSITIONS angstrom
Ta 0.0000 0.0000 0.0000
Mo 0.0000 0.0000 9.5018
N 0.0000 0.0000 7.4973
N 0.0000 0.0000 11.5064

! Ta3MoN | the Alexandria database | GGA-PBE | optimized geometry; values from VASP
! - Offset from the most stable computed form: 0 meV per atom
! - Energy relative to the elements, uncorrected: -0.343 eV per atom
! - VASP energy: -0.41475 Ha/atom
&SYSTEM
  ibrav = 0, nat = 5, ntyp = 3
/
ATOMIC_SPECIES
Ta 180.95 Ta.upf
Mo 95.94 Mo.upf
N 14.01 N.upf
CELL_PARAMETERS angstrom
4.2582 0.0000 0.0000
0.0000 4.2582 0.0000
0.0000 0.0000 4.2582
ATOMIC_POSITIONS angstrom
Ta 0.0000 0.0000 2.1291
Ta 0.0000 2.1291 0.0000
Ta 2.1291 0.0000 0.0000
Mo 2.1291 2.1291 2.1291
N 0.0000 0.0000 0.0000

! TaMo3N | the Alexandria database | GGA-PBE | optimized geometry; values from VASP
! - Offset from the most stable computed form: 3170 meV per atom
! - Energy relative to the elements, uncorrected: 3.033 eV per atom
! - VASP energy: -0.27568 Ha/atom
&SYSTEM
  ibrav = 0, nat = 5, ntyp = 3
/
ATOMIC_SPECIES
Ta 180.95 Ta.upf
Mo 95.94 Mo.upf
N 14.01 N.upf
CELL_PARAMETERS angstrom
4.7520 0.0000 0.0000
0.0000 4.7520 0.0000
0.0000 0.0000 4.7520
ATOMIC_POSITIONS angstrom
Ta 0.0000 0.0000 0.0000
Mo 0.0000 0.0000 2.3760
Mo 0.0000 2.3760 0.0000
Mo 2.3760 0.0000 0.0000
N 2.3760 2.3760 2.3760

! TaMoN2 | the Alexandria database | GGA-PBE | optimized geometry; values from VASP
! - Offset from the most stable computed form: 0 meV per atom
! - Energy relative to the elements, uncorrected: -0.537 eV per atom
! - VASP energy: -0.38112 Ha/atom
&SYSTEM
  ibrav = 0, nat = 4, ntyp = 3
/
ATOMIC_SPECIES
Ta 180.95 Ta.upf
Mo 95.94 Mo.upf
N 14.01 N.upf
CELL_PARAMETERS angstrom
1.4521 0.8384 5.7757
-1.4521 0.8384 5.7757
0.0000 -1.6768 5.7757
ATOMIC_POSITIONS angstrom
Ta 0.0000 0.0000 0.0000
Mo 0.0000 0.0000 14.4401
N 0.0000 0.0000 7.2887
N 0.0000 0.0000 10.0396

! TaMoN3 | the Alexandria database | GGA-PBE | optimized geometry; values from VASP
! - Energy relative to the elements, uncorrected: -0.470 eV per atom
! - VASP energy: -0.36757 Ha/atom
&SYSTEM
  ibrav = 0, nat = 20, ntyp = 3
/
ATOMIC_SPECIES
Ta 180.95 Ta.upf
Mo 95.94 Mo.upf
N 14.01 N.upf
CELL_PARAMETERS angstrom
5.4621 0.0000 0.0000
-1.4960 7.0829 0.0000
-1.2188 -3.0936 6.8100
ATOMIC_POSITIONS angstrom
Ta -0.3980 2.9405 1.3072
Ta -0.0875 6.4593 0.5686
Ta 2.8347 -2.4700 6.2413
Ta 3.1453 1.0488 5.5028
Mo -1.3837 4.4619 3.6474
Mo 0.7645 2.2454 4.5310
Mo 1.9828 1.7439 2.2790
Mo 4.1310 -0.4726 3.1625
N -0.6335 0.8831 4.3144
N -1.1530 5.9045 2.3446
N 0.5004 1.2162 0.8473
N 0.2408 4.4748 0.2865
N -0.3938 3.9955 5.4554
N 0.6758 3.3610 3.0044
N 2.0715 0.6283 3.8055
N 3.1411 -0.0062 1.3545
N 2.5065 -0.4855 6.5234
N 2.2469 2.7732 5.9626
N 3.9003 -1.9152 4.4653
N 3.3808 3.1062 2.4956